Below is an optimized crystal structure of La8Pr6Mg, with properties calculated at the PBE level.

```
data_La8Pr6Mg
_chemical_formula_sum 'La8 Pr6 Mg1'
_symmetry_space_group_name_H-M 'P 1'
_symmetry_Int_Tables_number 1
_symmetry_space_group_name_Hall 'P 1'
_cell_length_a 8.479
_cell_length_b 8.479
_cell_length_c 8.479
_cell_angle_alpha 72.31
_cell_angle_beta 72.31
_cell_angle_gamma 72.31
loop_
_atom_site_label
_atom_site_type_symbol
_atom_site_fract_x
_atom_site_fract_y
_atom_site_fract_z
La1 La 0.135 0.621 0.950
La2 La 0.050 0.865 0.379
La3 La 0.379 0.050 0.865
La4 La 0.767 0.767 0.767
La5 La 0.233 0.233 0.233
La6 La 0.621 0.950 0.135
La7 La 0.950 0.135 0.621
La8 La 0.865 0.379 0.050
Pr1 Pr 0.172 0.432 0.615
Pr2 Pr 0.385 0.828 0.568
Pr3 Pr 0.568 0.385 0.828
Pr4 Pr 0.432 0.615 0.172
Pr5 Pr 0.615 0.172 0.432
Pr6 Pr 0.828 0.568 0.385
Mg1 Mg 0.000 0.000 0.000
```

energy relative to the elements = 8 kJ/mol of atoms
crystal system = trigonal
total magnetization = 0.0 Bohr magnetons per cell
space-group type = No. 148